Record 1
! PaTlAgSe3 PBE optimized geometry; values from VASP
&SYSTEM
  ibrav = 0, nat = 12, ntyp = 4
/
ATOMIC_SPECIES
Se 78.96 Se.upf
Pa 231.04 Pa.upf
Tl 204.38 Tl.upf
Ag 107.87 Ag.upf
CELL_PARAMETERS angstrom
4.206 0.000 0.000
0.000 9.023 -0.208
0.000 -2.579 9.304
ATOMIC_POSITIONS angstrom
Se 1.051 5.653 4.142
Se 1.051 2.718 7.760
Se 3.154 0.791 4.955
Se 3.154 3.725 1.337
Se 3.154 7.636 0.925
Se 1.051 -1.192 8.172
Pa 3.154 0.727 7.773
Pa 1.051 5.717 1.323
Tl 1.051 1.198 2.312
Tl 3.154 5.246 6.785
Ag 3.154 7.270 3.558
Ag 1.051 -0.827 5.539
! Total magnetization (μB/cell): 2.0
! Uncorrected formation energy (kcal/mol of atoms): -19.6



Record 2
! CuRuRh2 PBE optimized geometry; values from VASP
&SYSTEM
  ibrav = 0, nat = 4, ntyp = 3
/
ATOMIC_SPECIES
Cu 63.55 Cu.upf
Ru 101.07 Ru.upf
Rh 102.91 Rh.upf
CELL_PARAMETERS angstrom
-1.821 2.094 3.752
-4.498 -1.158 0.459
3.853 -2.565 -0.599
ATOMIC_POSITIONS angstrom
Cu -0.564 -0.001 2.629
Ru -1.902 -1.627 0.983
Rh 0.000 0.000 0.000
Rh -3.159 0.468 2.106
! Total magnetization (μB/cell): 0.0
! ΔE to the lowest computed polymorph (meV per atom): 77
! Energy relative to the elements (meV/atom): 105